<A>
First-principles (GGA-PBE) data for an optimized crystal structure of SrAs2PSe, as listed in the Alexandria database.

Lattice parameters (Å, degrees): 5.685 5.685 5.540 90.00 90.00 90.00
Positions (direct):
Sr 0.000 0.000 0.000
As 0.000 0.500 0.000
As 0.500 0.000 0.000
P 0.500 0.500 0.500
Se 0.000 0.000 0.500

Output
**SG**: No. 123
**DOS(E_F)**: 8.54 states/eV/f.u.



<B>
First-principles (GGA-PBE) data for an optimized crystal structure of SrAs2PSe, as listed in the Alexandria database.

Lattice parameters (Å, degrees): 4.837 4.837 5.193 90.00 90.00 90.00
Positions (direct):
Sr 0.000 0.000 0.000
As 0.000 0.500 0.500
As 0.500 0.000 0.500
P 0.500 0.500 0.500
Se 0.500 0.500 0.000

Output
**SG**: No. 123
**DOS(E_F)**: 3.76 states/eV/f.u.



<C>
First-principles (GGA-PBE) data for an optimized crystal structure of SrAs2PSe, as listed in the Alexandria database.

Lattice parameters (Å, degrees): 4.987 4.987 5.748 90.00 90.00 90.00
Positions (direct):
Sr 0.000 0.000 0.000
As 0.000 0.500 0.500
As 0.500 0.000 0.500
P 0.500 0.500 0.000
Se 0.000 0.000 0.500

Output
**SG**: No. 123
**DOS(E_F)**: 3.72 states/eV/f.u.



Going by the energies, <B> is most stable and the next is 51.6 kJ/mol of atoms up.



<A>
First-principles (GGA-PBE) data for an optimized crystal structure of TcAs2PSe, as listed in the Alexandria database.

Lattice parameters (Å, degrees): 4.847 4.847 4.506 90.00 90.00 90.00
Positions (direct):
Tc 0.000 0.000 0.000
As 0.000 0.500 0.000
As 0.500 0.000 0.000
P 0.000 0.000 0.500
Se 0.500 0.500 0.500

Output
**SG**: No. 123
**DOS(E_F)**: 2.91 states/eV/f.u.



<B>
First-principles (GGA-PBE) data for an optimized crystal structure of TcAs2PSe, as listed in the Alexandria database.

Lattice parameters (Å, degrees): 4.658 4.658 4.801 90.00 90.00 90.00
Positions (direct):
Tc 0.000 0.000 0.000
As 0.000 0.500 0.500
As 0.500 0.000 0.500
P 0.500 0.500 0.500
Se 0.500 0.500 0.000

Output
**SG**: No. 123
**DOS(E_F)**: 3.33 states/eV/f.u.



Going by the energies, <A> is most stable and the next is 63.6 kJ/mol of atoms up.